Record 1
4
Lattice="2.715 0.000 0.000 0.000 4.834 0.000 0.000 0.000 5.143" Properties=species:S:1:pos:R:3 comment="KOsRu2 PBE-GGA optimized geometry" spacegroup="No. 47" e_form_ev_per_atom=1.551 relative_energy_mev_per_atom=806 total_magnetization_mub_per_fu=1.48 pbc="T T T"
K 0.000 0.000 0.000
Os 1.358 0.000 2.572
Ru 0.000 2.417 2.572
Ru 1.358 2.417 0.000

***

Record 2
8
Lattice="2.685 0.000 0.000 0.000 5.170 0.000 0.000 0.000 10.374" Properties=species:S:1:pos:R:3 comment="KOs2Ru PBE-GGA optimized geometry" spacegroup="No. 44" e_form_ev_per_atom=1.213 relative_energy_mev_per_atom=457 total_magnetization_mub_per_fu=0.00 pbc="T T T"
K 0.000 0.000 0.000
K 1.343 2.585 5.187
Os 0.000 0.000 5.171
Os 0.000 2.585 2.180
Os 1.343 0.000 7.367
Os 1.343 2.585 10.358
Ru 0.000 2.585 8.152
Ru 1.343 0.000 2.965

***

Record 3
8
Lattice="8.995 0.000 0.000 0.000 2.773 0.000 -0.781 0.000 6.777" Properties=species:S:1:pos:R:3 comment="KOs2Ru PBE-GGA optimized geometry" spacegroup="No. 8" e_form_ev_per_atom=0.963 relative_energy_mev_per_atom=207 total_magnetization_mub_per_fu=0.37 pbc="T T T"
K 0.000 0.000 0.000
K 4.498 1.386 0.000
Os -0.313 1.386 3.271
Os 2.188 1.386 2.491
Os 4.185 0.000 3.271
Os 6.686 0.000 2.491
Ru 1.494 0.000 4.485
Ru 5.992 1.386 4.485

***

Record 4
5
Lattice="6.034 0.000 0.000 0.000 6.034 0.000 0.000 0.000 6.034" Properties=species:S:1:pos:R:3 comment="K3OsRu PBE-GGA optimized geometry" spacegroup="No. 221" e_form_ev_per_atom=2.130 relative_energy_mev_per_atom=0 total_magnetization_mub_per_fu=5.00 pbc="T T T"
K 0.000 0.000 3.017
K 0.000 3.017 0.000
K 3.017 0.000 0.000
Os 3.017 3.017 3.017
Ru 0.000 0.000 0.000

***

Record 5
3
Lattice="4.991 0.000 0.000 -2.495 4.322 0.000 0.000 0.000 2.542" Properties=species:S:1:pos:R:3 comment="KOsRu PBE-GGA optimized geometry" spacegroup="No. 187" e_form_ev_per_atom=1.511 relative_energy_mev_per_atom=747 total_magnetization_mub_per_fu=0.00 pbc="T T T"
K 0.000 0.000 0.000
Os 2.495 1.441 1.271
Ru 0.000 2.881 1.271

***

Record 6
4
Lattice="2.781 0.000 0.000 0.000 2.781 0.000 0.000 0.000 9.375" Properties=species:S:1:pos:R:3 comment="KOs2Ru PBE-GGA optimized geometry" spacegroup="No. 99" e_form_ev_per_atom=0.832 relative_energy_mev_per_atom=76 total_magnetization_mub_per_fu=0.00 pbc="T T T"
K 0.000 0.000 0.000
Os 0.000 0.000 4.667
Os 1.390 1.390 2.888
Ru 1.390 1.390 6.477

***

Record 7
4
Lattice="2.707 0.000 0.000 0.000 3.802 0.000 -0.047 0.000 7.894" Properties=species:S:1:pos:R:3 comment="KOs2Ru PBE-GGA optimized geometry" spacegroup="No. 6" e_form_ev_per_atom=0.838 relative_energy_mev_per_atom=82 total_magnetization_mub_per_fu=0.00 pbc="T T T"
K 0.000 0.000 0.000
Os -0.012 0.000 3.990
Os 1.343 1.901 5.195
Ru 1.341 1.901 2.663

***

Record 8
8
Lattice="9.030 0.000 0.000 0.000 2.773 0.000 -0.795 0.000 6.734" Properties=species:S:1:pos:R:3 comment="KOsRu2 PBE-GGA optimized geometry" spacegroup="No. 8" e_form_ev_per_atom=0.955 relative_energy_mev_per_atom=210 total_magnetization_mub_per_fu=0.00 pbc="T T T"
K 0.000 0.000 0.000
K 4.515 1.387 0.000
Os 1.520 0.000 4.230
Os 6.035 1.387 4.230
Ru 2.225 1.387 2.265
Ru 4.037 0.000 3.516
Ru 6.740 0.000 2.265
Ru 8.552 1.387 3.516

***

Repeat the second record exactly.
8
Lattice="2.685 0.000 0.000 0.000 5.170 0.000 0.000 0.000 10.374" Properties=species:S:1:pos:R:3 comment="KOs2Ru PBE-GGA optimized geometry" spacegroup="No. 44" e_form_ev_per_atom=1.213 relative_energy_mev_per_atom=457 total_magnetization_mub_per_fu=0.00 pbc="T T T"
K 0.000 0.000 0.000
K 1.343 2.585 5.187
Os 0.000 0.000 5.171
Os 0.000 2.585 2.180
Os 1.343 0.000 7.367
Os 1.343 2.585 10.358
Ru 0.000 2.585 8.152
Ru 1.343 0.000 2.965